Material: LaHoPd
Method: DFT, GGA-PBE
State: optimized geometry

a b c (Å): 4.140 4.793 4.793
angles (deg): 120.00 90.00 90.00
Positions (direct):
1 Ho 0.112 0.000 0.000
2 Pd 0.255 0.333 0.667
3 La 0.633 0.667 0.333

Output
DOS at the Fermi energy = 0.724 states/eV per atom
formation enthalpy at 0 K = -0.41 eV/atom
density = 8.27 Mg/m³
M_tot = 0.00 μB per cell